(1)
Material: Tl3Hg11
Method: DFT, PBE
State: relaxed

The structure in CIF format:
```
data_Tl3Hg11
_chemical_formula_sum 'Tl6 Hg22'
_cell_length_a 5.313
_cell_length_b 11.719
_cell_length_c 12.839
_cell_angle_alpha 90.00
_cell_angle_beta 90.00
_cell_angle_gamma 90.00
_space_group_name_H-M_alt 'I m m m'
_space_group_IT_number 71
_space_group_name_Hall '-I 2 2'
loop_
_atom_site_label
_atom_site_type_symbol
_atom_site_fract_x
_atom_site_fract_y
_atom_site_fract_z
Tl1 Tl 0.000 0.000 0.000
Tl2 Tl 0.000 0.301 0.000
Hg1 Hg 0.000 0.000 0.500
Hg2 Hg 0.000 0.138 0.250
Hg3 Hg 0.000 0.353 0.382
Hg4 Hg 0.000 0.500 0.172
```

Summary:
- Raw total energy: -0.75 eV per atom
- ΔE_f: -1 meV/atom


(2)
Material: Nb2MoRhCl
Method: DFT, PBE
State: relaxed

The structure in CIF format:
```
data_Nb2MoRhCl
_chemical_formula_sum 'Nb2 Mo1 Rh1 Cl1'
_cell_length_a 4.851
_cell_length_b 4.851
_cell_length_c 4.530
_cell_angle_alpha 90.00
_cell_angle_beta 90.00
_cell_angle_gamma 90.00
_space_group_name_H-M_alt 'P 4/m m m'
_space_group_IT_number 123
_space_group_name_Hall '-P 4 2'
loop_
_atom_site_label
_atom_site_type_symbol
_atom_site_fract_x
_atom_site_fract_y
_atom_site_fract_z
Nb1 Nb 0.000 0.500 0.000
Mo1 Mo 0.000 0.000 0.000
Rh1 Rh 0.500 0.500 0.500
Cl1 Cl 0.000 0.000 0.500
```

Summary:
- Raw total energy: -6.72 eV per atom
- Raw formation energy: 1316 meV/atom


(3)
Material: SmTh4Te5
Method: DFT, PBE
State: relaxed

The structure in CIF format:
```
data_SmTh4Te5
_chemical_formula_sum 'Sm1 Th4 Te5'
_cell_length_a 3.852
_cell_length_b 3.852
_cell_length_c 19.230
_cell_angle_alpha 90.00
_cell_angle_beta 90.00
_cell_angle_gamma 90.00
_space_group_name_H-M_alt 'P 4/m m m'
_space_group_IT_number 123
_space_group_name_Hall '-P 4 2'
loop_
_atom_site_label
_atom_site_type_symbol
_atom_site_fract_x
_atom_site_fract_y
_atom_site_fract_z
Sm1 Sm 0.000 0.000 0.000
Th1 Th 0.000 0.000 0.199
Th2 Th 0.000 0.000 0.400
Te1 Te 0.500 0.500 0.100
Te2 Te 0.500 0.500 0.300
Te3 Te 0.500 0.500 0.500
```

Summary:
- Raw total energy: -6.14 eV per atom
- Raw formation energy: -1130 meV/atom


(4)
Material: CaZr2MnN4
Method: DFT, PBE
State: relaxed

The structure in CIF format:
```
data_CaZr2MnN4
_chemical_formula_sum 'Ca4 Zr8 Mn4 N16'
_cell_length_a 3.236
_cell_length_b 11.127
_cell_length_c 11.196
_cell_angle_alpha 90.00
_cell_angle_beta 90.00
_cell_angle_gamma 90.00
_space_group_name_H-M_alt 'C m c m'
_space_group_IT_number 63
_space_group_name_Hall '-C 2c 2'
loop_
_atom_site_label
_atom_site_type_symbol
_atom_site_fract_x
_atom_site_fract_y
_atom_site_fract_z
Ca1 Ca 0.000 0.108 0.250
Zr1 Zr 0.000 0.367 0.043
Mn1 Mn 0.000 0.158 0.750
N1 N 0.000 0.000 0.000
N2 N 0.000 0.263 0.618
N3 N 0.000 0.423 0.250
```

Summary:
- Raw total energy: -8.89 eV per atom
- Raw formation energy: -1194 meV/atom


(5)
Material: Pm2NpMnS5
Method: DFT, PBE
State: relaxed

The structure in CIF format:
```
data_Pm2NpMnS5
_chemical_formula_sum 'Pm8 Np4 Mn4 S20'
_cell_length_a 3.897
_cell_length_b 16.578
_cell_length_c 11.903
_cell_angle_alpha 90.00
_cell_angle_beta 90.00
_cell_angle_gamma 90.00
_space_group_name_H-M_alt 'C m c 21'
_space_group_IT_number 36
_space_group_name_Hall 'C 2c -2'
loop_
_atom_site_label
_atom_site_type_symbol
_atom_site_fract_x
_atom_site_fract_y
_atom_site_fract_z
Pm1 Pm 0.000 0.119 0.000
Pm2 Pm 0.000 0.122 0.651
Np1 Np 0.000 0.182 0.331
Mn1 Mn 0.000 0.452 0.734
S1 S 0.000 0.016 0.326
S2 S 0.000 0.302 0.994
S3 S 0.000 0.315 0.668
S4 S 0.000 0.347 0.324
S5 S 0.000 0.493 0.059
```

Summary:
- Raw total energy: -7.30 eV per atom
- Raw formation energy: -1496 meV/atom


(6)
Material: HoAg3Pb
Method: DFT, PBE
State: relaxed

The structure in CIF format:
```
data_HoAg3Pb
_chemical_formula_sum 'Ho4 Ag12 Pb4'
_cell_length_a 4.691
_cell_length_b 28.879
_cell_length_c 3.440
_cell_angle_alpha 90.00
_cell_angle_beta 90.00
_cell_angle_gamma 90.00
_space_group_name_H-M_alt 'C m m m'
_space_group_IT_number 65
_space_group_name_Hall '-C 2 2'
loop_
_atom_site_label
_atom_site_type_symbol
_atom_site_fract_x
_atom_site_fract_y
_atom_site_fract_z
Ho1 Ho 0.000 0.178 0.000
Ag1 Ag 0.000 0.050 0.500
Ag2 Ag 0.000 0.273 0.500
Ag3 Ag 0.000 0.454 0.000
Pb1 Pb 0.000 0.374 0.500
```

Summary:
- Raw total energy: -3.39 eV per atom
- ΔE_f: -22 meV/atom